HoPa2Pt3: relaxed, PBE.

Unit cell a=7.129 b=7.129 c=12.481 alpha=98.49 beta=104.81 gamma=107.11
Fractional coordinates of all 24 atoms:
Ho 0.916 0.917 0.835
Ho 0.334 0.833 0.665
Ho 0.168 0.669 0.335
Ho 0.082 0.081 0.165
Pa 0.003 0.501 0.004
Pa 0.415 0.418 0.832
Pa 0.835 0.332 0.668
Pa 0.247 0.249 0.496
Pa 0.753 0.751 0.504
Pa 0.664 0.167 0.332
Pa 0.586 0.583 0.168
Pa 0.497 0.999 0.996
Pt 0.165 0.660 0.834
Pt 0.669 0.178 0.837
Pt 0.085 0.090 0.666
Pt 0.581 0.572 0.663
Pt 0.991 0.491 0.500
Pt 0.509 0.009 0.500
Pt 0.425 0.420 0.334
Pt 0.909 0.918 0.337
Pt 0.825 0.330 0.166
Pt 0.341 0.832 0.163
Pt 0.259 0.259 0.000
Pt 0.741 0.741 0.000

Values from the calculation:
- symmetry = No. 15
- D(E_F) (states/eV/f.u.) = 8.5
- DFT formation energy (eV per atom) = -0.9704